Entry 1:
Material: Mn7Fe3
Method: DFT, GGA-PBEsol
State: relaxed

The space group is P2_1 (No. 4) and the conventional cell measures 5.901, 5.903 and 5.906 Å, with angles of 90.00, 90.08 and 90.00 degrees. The distinct sites, in fractional coordinates, are Mn at (0.053, 0.000, 0.052), Mn at (0.127, 0.322, 0.301), Mn at (0.197, 0.927, 0.448), Mn at (0.198, 0.570, 0.625), Mn at (0.304, 0.676, 0.123), Mn at (0.375, 0.928, 0.805), Mn at (0.447, 0.251, 0.554), Fe at (0.053, 0.178, 0.696), Fe at (0.303, 0.321, 0.946) and Fe at (0.446, 0.071, 0.197).

The formation energy from the elements is 52 meV/atom. The value obtained for the size of the total moment is 0.00 μB/cell. The total energy comes out at -9.470 eV/atom. The calculated volume comes out at 205.7 Å³/cell.

Entry 2:
Material: TcH2Pb2
Method: DFT, GGA-PBEsol
State: relaxed

The space group is I4/mmm (No. 139) and the conventional cell measures 4.799, 4.799 and 6.431 Å, with angles of 90.00, 90.00 and 90.00 degrees. The distinct sites, in fractional coordinates, are Tc at (0.000, 0.000, 0.000), H at (0.000, 0.000, 0.439) and Pb at (0.000, 0.500, 0.250).

The value obtained for the size of the total moment is 0.00 μB/cell. The total energy comes out at -4.631 eV/atom. The calculated volume comes out at 148.1 Å³/cell.

Entry 3:
Material: ScAgAsS2
Method: DFT, GGA-PBEsol
State: relaxed

The space group is P4/mmm (No. 123) and the conventional cell measures 4.711, 4.711 and 5.248 Å, with angles of 90.00, 90.00 and 90.00 degrees. The distinct sites, in fractional coordinates, are Sc at (0.000, 0.000, 0.000), Ag at (0.000, 0.000, 0.500), As at (0.500, 0.500, 0.500) and S at (0.000, 0.500, 0.000).

The value obtained for the size of the total moment is 0.57 μB/cell. Its formation energy without anion corrections is 1.034 eV/f.u. The total energy comes out at -4.551 eV/atom. The calculated volume comes out at 116.5 Å³/cell.

Entry 4:
Material: CdHg
Method: DFT, GGA-PBEsol
State: relaxed

The space group is Fm-3m (No. 225) and the conventional cell measures 5.804, 5.804 and 5.804 Å, with angles of 90.00, 90.00 and 90.00 degrees. The distinct sites, in fractional coordinates, are Cd at (0.000, 0.000, 0.000) and Hg at (0.000, 0.000, 0.500).

The formation energy from the elements is 50 meV/atom. The value obtained for the size of the total moment is 0.00 μB/cell. The total energy comes out at -0.832 eV/atom. The calculated volume comes out at 195.5 Å³/cell.